--- A ---
Computed, not measured: a relaxed structure of KYS2Cl at the GGA-PBE level of DFT.

abc: 5.291 5.291 5.447
angles: 90.00 90.00 90.00
Space group P4/mmm (No. 123)
Unique sites:
K: 0.000 0.000 0.000 x1
Y: 0.500 0.500 0.500 x1
S: 0.000 0.500 0.500 x2
Cl: 0.500 0.500 0.000 x1

Values from the calculation:
The value obtained for the size of the total moment is 0.15 μB/atom. As for the density: 2.48 g/cm3.

--- B ---
Computed, not measured: a relaxed structure of KYS2Cl at the GGA-PBE level of DFT.

abc: 5.272 5.272 5.111
angles: 90.00 90.00 90.00
Space group P4/mmm (No. 123)
Unique sites:
K: 0.000 0.000 0.000 x1
Y: 0.500 0.500 0.500 x1
S: 0.000 0.500 0.000 x2
Cl: 0.000 0.000 0.500 x1

Values from the calculation:
The value obtained for the size of the total moment is 0.19 μB/atom. As for the density: 2.66 g/cm3.

Going by the energies, A is most stable and the next is 1339 meV/atom up.

--- A ---
Computed, not measured: a relaxed structure of KZnSCl2 at the GGA-PBE level of DFT.

abc: 5.935 5.935 6.062
angles: 90.00 90.00 90.00
Space group P4/mmm (No. 123)
Unique sites:
K: 0.000 0.000 0.000 x1
Zn: 0.500 0.500 0.500 x1
S: 0.000 0.000 0.500 x1
Cl: 0.000 0.500 0.000 x2

Values from the calculation:
The value obtained for the size of the total moment is 0.61 μB/atom. As for the density: 1.61 g/cm3.

--- B ---
Computed, not measured: a relaxed structure of KZnSCl2 at the GGA-PBE level of DFT.

abc: 5.178 5.178 4.666
angles: 90.00 90.00 90.00
Space group P4/mmm (No. 123)
Unique sites:
K: 0.000 0.000 0.000 x1
Zn: 0.500 0.500 0.500 x1
S: 0.500 0.500 0.000 x1
Cl: 0.000 0.500 0.500 x2

Values from the calculation:
The value obtained for the size of the total moment is 0.20 μB/atom. As for the density: 2.75 g/cm3.

Going by the energies, B is most stable and the next is 1085 meV/atom up.

--- A ---
Computed, not measured: a relaxed structure of KZnS2Cl at the GGA-PBE level of DFT.

abc: 4.632 4.632 5.730
angles: 90.00 90.00 90.00
Space group P4/mmm (No. 123)
Unique sites:
K: 0.000 0.000 0.000 x1
Zn: 0.500 0.500 0.500 x1
S: 0.000 0.500 0.500 x2
Cl: 0.500 0.500 0.000 x1

Values from the calculation:
The value obtained for the size of the total moment is 0.11 μB/atom. As for the density: 2.76 g/cm3.

--- B ---
Computed, not measured: a relaxed structure of KZnS2Cl at the GGA-PBE level of DFT.

abc: 6.155 6.155 5.819
angles: 90.00 90.00 90.00
Space group P4/mmm (No. 123)
Unique sites:
K: 0.000 0.000 0.000 x1
Zn: 0.500 0.500 0.500 x1
S: 0.000 0.500 0.000 x2
Cl: 0.000 0.000 0.500 x1

Values from the calculation:
The value obtained for the size of the total moment is 0.81 μB/atom. As for the density: 1.54 g/cm3.

Going by the energies, A is most stable and the next is 1144 meV/atom up.

--- A ---
Computed, not measured: a relaxed structure of KSb2Cl at the GGA-PBE level of DFT.

abc: 4.399 5.019 10.356
angles: 90.00 90.00 90.00
Space group Cmmm (No. 65)
Unique sites:
K: 0.000 0.000 0.000 x2
Sb: 0.000 0.500 0.281 x4
Cl: 0.000 0.000 0.500 x2

Values from the calculation:
The value obtained for the size of the total moment is 0.00 μB/atom. As for the density: 4.62 g/cm3.

--- B ---
Computed, not measured: a relaxed structure of KSb2Cl at the GGA-PBE level of DFT.

abc: 3.462 4.210 9.104
angles: 90.00 96.47 90.00
Space group Pm (No. 6)
Unique sites:
K: 0.000 0.000 0.000 x1
Sb: 0.610 0.500 0.347 x1
Sb: 0.677 0.000 0.564 x1
Cl: 0.458 0.500 0.864 x1

Values from the calculation:
The value obtained for the size of the total moment is 0.00 μB/atom. As for the density: 4.01 g/cm3.

--- C ---
Computed, not measured: a relaxed structure of KSb2Cl at the GGA-PBE level of DFT.

abc: 4.237 4.237 8.543
angles: 90.00 90.00 90.00
Space group P4/mmm (No. 123)
Unique sites:
K: 0.000 0.000 0.000 x1
Sb: 0.000 0.500 0.500 x2
Cl: 0.500 0.500 0.000 x1

Values from the calculation:
The value obtained for the size of the total moment is 0.00 μB/atom. As for the density: 3.44 g/cm3.

Going by the energies, B is most stable and the next is 71 meV/atom up.

--- A ---
Computed, not measured: a relaxed structure of KSb2Cl at the GGA-PBE level of DFT.

abc: 4.3412 4.3412 25.4429
angles: 90.00 90.00 120.00
Space group R3m (No. 160, hexagonal axes)
Unique sites:
K: 0.0000 0.0000 0.0000 x3
Sb: 0.0000 0.0000 0.2177 x3
Sb: 0.0000 0.0000 0.4896 x3
Cl: 0.0000 0.0000 0.7294 x3

Values from the calculation:
The value obtained for the size of the total moment is 0.00 μB/atom. As for the density: 3.82 g/cm3.

--- B ---
Computed, not measured: a relaxed structure of KSb2Cl at the GGA-PBE level of DFT.

abc: 4.192 7.365 9.672
angles: 90.00 90.00 90.00
Space group Imm2 (No. 44)
Unique sites:
K: 0.000 0.000 0.000 x2
Sb: 0.000 0.000 0.518 x2
Sb: 0.000 0.500 0.823 x2
Cl: 0.000 0.500 0.282 x2

Values from the calculation:
The value obtained for the size of the total moment is 0.00 μB/atom. As for the density: 3.54 g/cm3.

Going by the energies, A is most stable and the next is 274 meV/atom up.

--- A ---
Computed, not measured: a relaxed structure of KSb2Cl at the GGA-PBE level of DFT.

abc: 3.323 3.323 10.315
angles: 90.00 90.00 90.00
Space group P4/mmm (No. 123)
Unique sites:
K: 0.000 0.000 0.000 x1
Sb: 0.500 0.500 0.281 x2
Cl: 0.000 0.000 0.500 x1

Values from the calculation:
The value obtained for the size of the total moment is 0.00 μB/atom. As for the density: 4.64 g/cm3.

--- B ---
Computed, not measured: a relaxed structure of KSb2Cl at the GGA-PBE level of DFT.

abc: 4.344 4.344 31.661
angles: 90.00 90.00 90.00
Space group I-42d (No. 122)
Unique sites:
K: 0.000 0.000 0.000 x4
Sb: 0.208 0.250 0.125 x8
Cl: 0.000 0.000 0.500 x4

Values from the calculation:
The value obtained for the size of the total moment is 0.00 μB/atom. As for the density: 3.54 g/cm3.

--- C ---
Computed, not measured: a relaxed structure of KSb2Cl at the GGA-PBE level of DFT.

abc: 3.852 3.852 8.736
angles: 90.00 90.00 90.00
Space group P4mm (No. 99)
Unique sites:
K: 0.000 0.000 0.000 x1
Sb: 0.000 0.000 0.537 x1
Sb: 0.500 0.500 0.371 x1
Cl: 0.500 0.500 0.860 x1

Values from the calculation:
The value obtained for the size of the total moment is 0.00 μB/atom. As for the density: 4.07 g/cm3.

--- D ---
Computed, not measured: a relaxed structure of KSb2Cl at the GGA-PBE level of DFT.

abc: 5.272 5.272 6.166
angles: 90.00 90.00 90.00
Space group P4/mmm (No. 123)
Unique sites:
K: 0.000 0.000 0.000 x1
Sb: 0.500 0.500 0.207 x2
Cl: 0.000 0.000 0.500 x1

Values from the calculation:
The value obtained for the size of the total moment is 0.00 μB/atom. As for the density: 3.08 g/cm3.

Going by the energies, C is most stable and the next is 28 meV/atom up.

--- A ---
Computed, not measured: a relaxed structure of KSb2Cl at the GGA-PBE level of DFT.

abc: 15.485 4.127 4.644
angles: 90.00 103.74 90.00
Space group C2/m (No. 12)
Unique sites:
K: 0.000 0.000 0.000 x2
Sb: 0.228 0.500 0.789 x4
Cl: 0.000 0.500 0.500 x2

Values from the calculation:
The value obtained for the size of the total moment is 0.00 μB/atom. As for the density: 3.66 g/cm3.

--- B ---
Computed, not measured: a relaxed structure of KSb2Cl at the GGA-PBE level of DFT.

abc: 4.131 4.145 17.048
angles: 90.00 90.00 90.00
Space group Immm (No. 71)
Unique sites:
K: 0.000 0.000 0.000 x2
Sb: 0.000 0.500 0.224 x4
Cl: 0.000 0.000 0.500 x2

Values from the calculation:
The value obtained for the size of the total moment is 0.00 μB/atom. As for the density: 3.62 g/cm3.

--- C ---
Computed, not measured: a relaxed structure of KSb2Cl at the GGA-PBE level of DFT.

abc: 5.749 14.786 3.263
angles: 90.00 90.00 90.00
Space group Cmmm (No. 65)
Unique sites:
K: 0.000 0.000 0.000 x2
Sb: 0.250 0.250 0.500 x4
Cl: 0.000 0.500 0.000 x2

Values from the calculation:
The value obtained for the size of the total moment is 0.00 μB/atom. As for the density: 3.81 g/cm3.

Going by the energies, A is most stable and the next is 12 meV/atom up.

--- A ---
Computed, not measured: a relaxed structure of K3SbCl8 at the GGA-PBE level of DFT.

abc: 8.743 13.226 9.159
angles: 90.00 90.00 90.00
Space group C222 (No. 21)
Unique sites:
K: 0.000 0.000 0.000 x2
K: 0.250 0.250 0.787 x4
Sb: 0.000 0.000 0.500 x2
Cl: 0.000 0.182 0.500 x4
Cl: 0.000 0.224 0.000 x4
Cl: 0.197 0.001 0.685 x8

Values from the calculation:
The value obtained for the size of the total moment is 0.00 μB/atom. As for the density: 1.64 g/cm3.

--- B ---
Computed, not measured: a relaxed structure of K3SbCl8 at the GGA-PBE level of DFT.

abc: 7.209 7.209 14.432
angles: 90.00 90.00 90.00
Space group I4/mmm (No. 139)
Unique sites:
K: 0.000 0.000 0.000 x2
K: 0.000 0.500 0.250 x4
Sb: 0.000 0.000 0.500 x2
Cl: 0.223 0.223 0.388 x16

Values from the calculation:
The value obtained for the size of the total moment is 0.14 μB/atom. As for the density: 2.31 g/cm3.

Going by the energies, A is most stable and the next is 178 meV/atom up.

--- A ---
Computed, not measured: a relaxed structure of K2SbCl at the GGA-PBE level of DFT.

abc: 8.392 8.392 8.392
angles: 90.00 90.00 90.00
Space group Fm-3m (No. 225)
Unique sites:
K: 0.250 0.250 0.250 x8
Sb: 0.000 0.000 0.000 x4
Cl: 0.000 0.000 0.500 x4

Values from the calculation:
The value obtained for the size of the total moment is 0.50 μB/atom. As for the density: 2.65 g/cm3.

--- B ---
Computed, not measured: a relaxed structure of K2SbCl at the GGA-PBE level of DFT.

abc: 3.621 3.621 9.294
angles: 90.00 90.00 90.00
Space group P4/mmm (No. 123)
Unique sites:
K: 0.000 0.000 0.207 x2
Sb: 0.500 0.500 0.500 x1
Cl: 0.500 0.500 0.000 x1

Values from the calculation:
The value obtained for the size of the total moment is 0.00 μB/atom. As for the density: 3.21 g/cm3.

Going by the energies, B is most stable and the next is 407 meV/atom up.

--- A ---
Computed, not measured: a relaxed structure of K2SbCl at the GGA-PBE level of DFT.

abc: 3.715 3.742 9.724
angles: 90.00 90.00 90.00
Space group Pmm2 (No. 25)
Unique sites:
K: 0.000 0.000 0.000 x1
K: 0.500 0.000 0.419 x1
Sb: 0.000 0.500 0.681 x1
Cl: 0.500 0.500 0.169 x1

Values from the calculation:
The value obtained for the size of the total moment is 0.00 μB/atom. As for the density: 2.89 g/cm3.

--- B ---
Computed, not measured: a relaxed structure of K2SbCl at the GGA-PBE level of DFT.

abc: 4.789 4.789 14.045
angles: 90.00 90.00 90.00
Space group I-4m2 (No. 119)
Unique sites:
K: 0.000 0.000 0.000 x2
K: 0.000 0.500 0.250 x2
Sb: 0.000 0.500 0.750 x2
Cl: 0.000 0.000 0.500 x2

Values from the calculation:
The value obtained for the size of the total moment is 0.49 μB/atom. As for the density: 2.43 g/cm3.

Going by the energies, A is most stable and the next is 333 meV/atom up.

--- A ---
Computed, not measured: a relaxed structure of K2SbCl at the GGA-PBE level of DFT.

abc: 6.244 6.244 3.412
angles: 90.00 90.00 90.00
Space group P4/mmm (No. 123)
Unique sites:
K: 0.000 0.500 0.000 x2
Sb: 0.000 0.000 0.500 x1
Cl: 0.500 0.500 0.500 x1

Values from the calculation:
The value obtained for the size of the total moment is 0.00 μB/atom. As for the density: 2.94 g/cm3.

--- B ---
Computed, not measured: a relaxed structure of K2SbCl at the GGA-PBE level of DFT.

abc: 3.651 3.593 19.135
angles: 90.00 90.00 90.00
Space group Amm2 (No. 38)
Unique sites:
K: 0.000 0.000 0.000 x2
K: 0.000 0.000 0.201 x2
Sb: 0.500 0.000 0.841 x2
Cl: 0.500 0.000 0.596 x2

Values from the calculation:
The value obtained for the size of the total moment is 0.00 μB/atom. As for the density: 3.11 g/cm3.

Going by the energies, B is most stable and the next is 205 meV/atom up.